Record 1
! FeNi3Rh4 (PBE-GGA, optimized geometry); values from VASP
&SYSTEM
  ibrav = 0, nat = 16, ntyp = 3
/
ATOMIC_SPECIES
Fe 55.84 Fe.upf
Ni 58.69 Ni.upf
Rh 102.91 Rh.upf
CELL_PARAMETERS angstrom
8.5356 0.0000 0.0000
0.0000 5.3845 0.0000
0.0000 0.0000 4.4814
ATOMIC_POSITIONS crystal
Fe 0.0000 0.0000 0.0000
Fe 0.5000 0.0000 0.0000
Ni 0.0000 0.5000 0.0000
Ni 0.2500 0.0000 0.3473
Ni 0.2500 0.5000 0.3410
Ni 0.5000 0.5000 0.0000
Ni 0.7500 0.0000 0.6527
Ni 0.7500 0.5000 0.6590
Rh 0.0000 0.2506 0.5000
Rh 0.0000 0.7494 0.5000
Rh 0.2500 0.2522 0.8533
Rh 0.2500 0.7478 0.8533
Rh 0.5000 0.2506 0.5000
Rh 0.5000 0.7494 0.5000
Rh 0.7500 0.2522 0.1467
Rh 0.7500 0.7478 0.1467
! **Calculated total energy**: -6.881 eV per atom
! **DOS at the Fermi energy**: 1.924 states/eV/atom
! **Formation enthalpy at 0 K**: 0.02 eV per atom
! **SG**: Pmma (51)

***

Record 2
! FeNi4Rh (PBE-GGA, optimized geometry); values from VASP
&SYSTEM
  ibrav = 0, nat = 6, ntyp = 3
/
ATOMIC_SPECIES
Fe 55.84 Fe.upf
Ni 58.69 Ni.upf
Rh 102.91 Rh.upf
CELL_PARAMETERS angstrom
4.0492 0.0000 0.0000
-2.0246 3.5067 0.0000
0.0000 0.0000 5.0048
ATOMIC_POSITIONS crystal
Fe 0.0000 0.0000 0.0000
Ni 0.3333 0.6667 0.2462
Ni 0.3333 0.6667 0.7538
Ni 0.6667 0.3333 0.2462
Ni 0.6667 0.3333 0.7538
Rh 0.0000 0.0000 0.5000
! **Calculated total energy**: -6.464 eV per atom
! **DOS at the Fermi energy**: 1.438 states/eV/atom
! **Relative energy among the computed polymorphs**: 0.065 eV per atom
! **Formation enthalpy at 0 K**: 0.03 eV per atom
! **SG**: P6/mmm (191)

***

Record 3
! FeNi5Rh2 (PBE-GGA, optimized geometry); values from VASP
&SYSTEM
  ibrav = 0, nat = 16, ntyp = 3
/
ATOMIC_SPECIES
Fe 55.84 Fe.upf
Ni 58.69 Ni.upf
Rh 102.91 Rh.upf
CELL_PARAMETERS angstrom
5.1626 0.0000 0.0000
0.0000 10.3348 0.0000
0.0000 0.0000 3.6070
ATOMIC_POSITIONS crystal
Fe 0.0000 0.0000 0.0000
Fe 0.5000 0.5000 0.0000
Ni 0.0000 0.5000 0.0000
Ni 0.0077 0.2478 0.0000
Ni 0.2442 0.6249 0.5000
Ni 0.2558 0.1249 0.5000
Ni 0.4923 0.7478 0.0000
Ni 0.5000 0.0000 0.0000
Ni 0.5077 0.2522 0.0000
Ni 0.7442 0.8751 0.5000
Ni 0.7558 0.3751 0.5000
Ni 0.9923 0.7522 0.0000
Rh 0.2456 0.8744 0.5000
Rh 0.2544 0.3744 0.5000
Rh 0.7456 0.6256 0.5000
Rh 0.7544 0.1256 0.5000
! **Calculated total energy**: -6.516 eV per atom
! **DOS at the Fermi energy**: 1.367 states/eV/atom
! **Formation enthalpy at 0 K**: -0.01 eV per atom
! **SG**: Pbam (55)

***

Record 4
! Fe5Ni3Rh3 (PBE-GGA, optimized geometry); values from VASP
&SYSTEM
  ibrav = 0, nat = 11, ntyp = 3
/
ATOMIC_SPECIES
Fe 55.84 Fe.upf
Ni 58.69 Ni.upf
Rh 102.91 Rh.upf
CELL_PARAMETERS angstrom
8.2462 0.0000 0.0000
-4.1231 7.1414 0.0000
0.0000 0.0000 2.5867
ATOMIC_POSITIONS crystal
Fe 0.0000 0.6723 0.0000
Fe 0.3277 0.3277 0.0000
Fe 0.3333 0.6667 0.0000
Fe 0.6667 0.3333 0.0000
Fe 0.6723 0.0000 0.0000
Ni 0.0000 0.1622 0.0000
Ni 0.1622 0.0000 0.0000
Ni 0.8378 0.8378 0.0000
Rh 0.0000 0.4150 0.5000
Rh 0.4150 0.0000 0.5000
Rh 0.5850 0.5850 0.5000
! **Calculated total energy**: -7.011 eV per atom
! **DOS at the Fermi energy**: 1.481 states/eV/atom
! **Formation enthalpy at 0 K**: 0.42 eV per atom
! **SG**: P-62m (189)

***

Record 5
! Fe3Ni6Rh (PBE-GGA, optimized geometry); values from VASP
&SYSTEM
  ibrav = 0, nat = 20, ntyp = 3
/
ATOMIC_SPECIES
Fe 55.84 Fe.upf
Ni 58.69 Ni.upf
Rh 102.91 Rh.upf
CELL_PARAMETERS angstrom
6.7318 0.0000 0.0000
0.0000 4.1284 0.0000
-2.8667 0.0000 8.3336
ATOMIC_POSITIONS crystal
Fe 0.0957 0.2500 0.2287
Fe 0.3000 0.2500 0.0322
Fe 0.3046 0.7500 0.3656
Fe 0.6954 0.2500 0.6344
Fe 0.7000 0.7500 0.9678
Fe 0.9043 0.7500 0.7713
Ni 0.1026 0.7500 0.0666
Ni 0.1054 0.2500 0.7420
Ni 0.3052 0.7500 0.8707
Ni 0.3094 0.2500 0.5353
Ni 0.4930 0.2500 0.3282
Ni 0.5001 0.2500 0.8329
Ni 0.4999 0.7500 0.1671
Ni 0.5070 0.7500 0.6718
Ni 0.6906 0.7500 0.4647
Ni 0.6948 0.2500 0.1293
Ni 0.8946 0.7500 0.2580
Ni 0.8974 0.2500 0.9334
Rh 0.1070 0.7500 0.5715
Rh 0.8930 0.2500 0.4285
! **Calculated total energy**: -6.782 eV per atom
! **DOS at the Fermi energy**: 1.005 states/eV/atom
! **Relative energy among the computed polymorphs**: 0.000 eV per atom
! **Formation enthalpy at 0 K**: -0.04 eV per atom
! **SG**: P2_1/m (11)

***

Record 6
! FeNi14Rh (PBE-GGA, optimized geometry); values from VASP
&SYSTEM
  ibrav = 0, nat = 16, ntyp = 3
/
ATOMIC_SPECIES
Fe 55.84 Fe.upf
Ni 58.69 Ni.upf
Rh 102.91 Rh.upf
CELL_PARAMETERS angstrom
8.1977 0.0000 0.0000
0.0000 2.5164 4.3599
0.0000 -2.5164 4.3599
ATOMIC_POSITIONS crystal
Fe 0.0000 0.0000 0.0000
Ni 0.0000 0.0001 0.5022
Ni 0.0000 0.5022 0.0001
Ni 0.2493 0.1665 0.1665
Ni 0.2532 0.1642 0.6685
Ni 0.2534 0.6682 0.6682
Ni 0.2532 0.6685 0.1642
Ni 0.5000 0.3334 0.3334
Ni 0.5000 0.3335 0.8347
Ni 0.5000 0.8340 0.8340
Ni 0.5000 0.8347 0.3335
Ni 0.7468 0.1642 0.6685
Ni 0.7466 0.6682 0.6682
Ni 0.7468 0.6685 0.1642
Ni 0.7507 0.1665 0.1665
Rh 0.0000 0.5012 0.5012
! **Calculated total energy**: -6.045 eV per atom
! **DOS at the Fermi energy**: 1.487 states/eV/atom
! **Formation enthalpy at 0 K**: 0.00 eV per atom
! **SG**: Amm2 (38)

***

Record 7
! Fe2Ni7Rh2 (PBE-GGA, optimized geometry); values from VASP
&SYSTEM
  ibrav = 0, nat = 11, ntyp = 3
/
ATOMIC_SPECIES
Fe 55.84 Fe.upf
Ni 58.69 Ni.upf
Rh 102.91 Rh.upf
CELL_PARAMETERS angstrom
3.2260 -3.8432 0.0000
3.2260 3.8432 0.0000
-1.6569 0.0000 5.4510
ATOMIC_POSITIONS crystal
Fe 0.2195 0.7805 0.0000
Fe 0.7805 0.2195 0.0000
Ni 0.0454 0.5938 0.3305
Ni 0.0937 0.0937 0.3401
Ni 0.4062 0.9546 0.6695
Ni 0.5000 0.5000 0.5000
Ni 0.5938 0.0454 0.3305
Ni 0.9063 0.9063 0.6599
Ni 0.9546 0.4062 0.6695
Rh 0.3006 0.3006 0.0247
Rh 0.6994 0.6994 0.9753
! **Calculated total energy**: -6.434 eV per atom
! **DOS at the Fermi energy**: 1.198 states/eV/atom
! **Relative energy among the computed polymorphs**: 0.000 eV per atom
! **Formation enthalpy at 0 K**: 0.12 eV per atom
! **SG**: C2/m (12)

***

Record 8
! Fe3Ni4Rh (PBE-GGA, optimized geometry); values from VASP
&SYSTEM
  ibrav = 0, nat = 16, ntyp = 3
/
ATOMIC_SPECIES
Fe 55.84 Fe.upf
Ni 58.69 Ni.upf
Rh 102.91 Rh.upf
CELL_PARAMETERS angstrom
8.3242 0.0000 0.0000
0.0000 5.0960 0.0000
0.0000 0.0000 4.4375
ATOMIC_POSITIONS crystal
Fe 0.0000 0.0000 0.0000
Fe 0.2500 0.0000 0.3322
Fe 0.2500 0.5000 0.3349
Fe 0.5000 0.0000 0.0000
Fe 0.7500 0.0000 0.6678
Fe 0.7500 0.5000 0.6651
Ni 0.0000 0.2465 0.5000
Ni 0.0000 0.7535 0.5000
Ni 0.2500 0.2482 0.8260
Ni 0.2500 0.7518 0.8260
Ni 0.5000 0.2465 0.5000
Ni 0.5000 0.7535 0.5000
Ni 0.7500 0.2482 0.1740
Ni 0.7500 0.7518 0.1740
Rh 0.0000 0.5000 0.0000
Rh 0.5000 0.5000 0.0000
! **Calculated total energy**: -7.040 eV per atom
! **DOS at the Fermi energy**: 0.653 states/eV/atom
! **Formation enthalpy at 0 K**: -0.06 eV per atom
! **SG**: Pmma (51)

***

Record 9
! Fe2Ni2Rh (PBE-GGA, optimized geometry); values from VASP
&SYSTEM
  ibrav = 0, nat = 10, ntyp = 3
/
ATOMIC_SPECIES
Fe 55.84 Fe.upf
Ni 58.69 Ni.upf
Rh 102.91 Rh.upf
CELL_PARAMETERS angstrom
6.7411 0.0000 0.0000
0.0000 6.7411 0.0000
0.0000 0.0000 2.7088
ATOMIC_POSITIONS crystal
Fe 0.1724 0.3276 0.0000
Fe 0.3276 0.8276 0.0000
Fe 0.6724 0.1724 0.0000
Fe 0.8276 0.6724 0.0000
Ni 0.1261 0.6261 0.5000
Ni 0.3739 0.1261 0.5000
Ni 0.6261 0.8739 0.5000
Ni 0.8739 0.3739 0.5000
Rh 0.0000 0.0000 0.5000
Rh 0.5000 0.5000 0.5000
! **Calculated total energy**: -7.110 eV per atom
! **DOS at the Fermi energy**: 0.690 states/eV/atom
! **Relative energy among the computed polymorphs**: 0.000 eV per atom
! **Formation enthalpy at 0 K**: 0.06 eV per atom
! **SG**: P4/mbm (127)

***

Record 10
! FeNiRh3 (PBE-GGA, optimized geometry); values from VASP
&SYSTEM
  ibrav = 0, nat = 5, ntyp = 3
/
ATOMIC_SPECIES
Fe 55.84 Fe.upf
Ni 58.69 Ni.upf
Rh 102.91 Rh.upf
CELL_PARAMETERS angstrom
4.3851 0.0000 0.0000
0.0000 4.3851 0.0000
0.0000 0.0000 4.3851
ATOMIC_POSITIONS crystal
Fe 0.0000 0.0000 0.0000
Ni 0.5000 0.5000 0.5000
Rh 0.0000 0.0000 0.5000
Rh 0.0000 0.5000 0.0000
Rh 0.5000 0.0000 0.0000
! **Calculated total energy**: -5.984 eV per atom
! **DOS at the Fermi energy**: 2.666 states/eV/atom
! **Relative energy among the computed polymorphs**: 0.432 eV per atom
! **Formation enthalpy at 0 K**: 1.28 eV per atom
! **SG**: Pm-3m (221)

***

Record 11
! FeNiRh2 (PBE-GGA, optimized geometry); values from VASP
&SYSTEM
  ibrav = 0, nat = 4, ntyp = 3
/
ATOMIC_SPECIES
Fe 55.84 Fe.upf
Ni 58.69 Ni.upf
Rh 102.91 Rh.upf
CELL_PARAMETERS angstrom
2.6635 0.0000 0.0000
0.0000 4.0522 0.0000
-1.3209 0.0000 4.8650
ATOMIC_POSITIONS crystal
Fe 0.0000 0.0000 0.0000
Ni 0.1315 0.5000 0.2632
Rh 0.3926 0.5000 0.7853
Rh 0.7363 0.0000 0.4731
! **Calculated total energy**: -7.207 eV per atom
! **DOS at the Fermi energy**: 1.596 states/eV/atom
! **Formation enthalpy at 0 K**: 0.03 eV per atom
! **SG**: Pm (6)

***

Record 12
! Fe2Ni3Rh (PBE-GGA, optimized geometry); values from VASP
&SYSTEM
  ibrav = 0, nat = 24, ntyp = 3
/
ATOMIC_SPECIES
Fe 55.84 Fe.upf
Ni 58.69 Ni.upf
Rh 102.91 Rh.upf
CELL_PARAMETERS angstrom
-3.8439 3.8439 5.0378
3.8439 -3.8439 5.0378
3.8439 3.8439 -5.0378
ATOMIC_POSITIONS crystal
Fe 0.2768 0.3544 0.5776
Fe 0.2768 0.6992 0.9224
Fe 0.3008 0.7232 0.5776
Fe 0.3544 0.2768 0.0776
Fe 0.6456 0.7232 0.9224
Fe 0.6992 0.2768 0.4224
Fe 0.7232 0.3008 0.0776
Fe 0.7232 0.6456 0.4224
Ni 0.0000 0.5000 0.5000
Ni 0.0872 0.3372 0.1744
Ni 0.0872 0.9128 0.7500
Ni 0.3372 0.0872 0.6744
Ni 0.3372 0.6628 0.2500
Ni 0.5000 0.0000 0.0000
Ni 0.5000 0.5000 0.0000
Ni 0.5000 0.5000 0.5000
Ni 0.6628 0.3372 0.7500
Ni 0.6628 0.9128 0.3256
Ni 0.9128 0.0872 0.2500
Ni 0.9128 0.6628 0.8256
Rh 0.0492 0.2992 0.7500
Rh 0.2992 0.0492 0.2500
Rh 0.7008 0.9508 0.7500
Rh 0.9508 0.7008 0.2500
! **Calculated total energy**: -6.826 eV per atom
! **DOS at the Fermi energy**: 1.098 states/eV/atom
! **Relative energy among the computed polymorphs**: 0.167 eV per atom
! **Formation enthalpy at 0 K**: 0.11 eV per atom
! **SG**: I4_1/amd (141)